Record 1
5
Lattice="-1.708 0.871 -3.470 -3.105 -2.270 0.959 -1.776 3.131 1.660" Properties=species:S:1:pos:R:3 comment="ScMn3H | Alexandria via LeMat-Bulk | GGA-PBE | optimized geometry" magmom_total_mub_per_fu=8.843 n_ef_per_ev_cell=5.58 dft_energy_ev_per_cell=-36.71 pbc="T T T"
Mn -0.854 0.435 -1.735
H 0.000 0.000 0.000
Mn -1.553 -1.135 0.479
Sc -3.295 0.866 -0.425
Mn -0.888 1.566 0.830

---

Record 2
5
Lattice="3.375 0.000 0.000 0.000 3.375 0.000 0.000 0.000 3.375" Properties=species:S:1:pos:R:3 comment="ScMnH3 | Alexandria via LeMat-Bulk | GGA-PBE | optimized geometry" magmom_total_mub_per_fu=1.126 n_ef_per_ev_cell=1.46 dft_energy_ev_per_cell=-27.36 pbc="T T T"
H 1.687 0.000 0.000
Sc 1.687 1.687 1.687
Mn 0.000 0.000 0.000
H 0.000 0.000 1.687
H 0.000 1.687 0.000

---

Record 3
14
Lattice="0.055 3.005 0.739 -2.963 -0.162 0.880 2.665 -2.159 8.570" Properties=species:S:1:pos:R:3 comment="ScMnH5 | Alexandria via LeMat-Bulk | GGA-PBE | optimized geometry" magmom_total_mub_per_fu=2.457 n_ef_per_ev_cell=4.68 dft_energy_ev_per_cell=-67.09 pbc="T T T"
H 0.287 1.291 1.207
H -1.221 -0.292 1.277
H 1.620 0.212 5.492
H 0.721 2.465 2.882
H -0.530 -0.608 8.981
H -0.355 2.054 4.626
H 0.978 0.975 8.911
H -0.964 -1.781 7.307
Mn 1.332 -1.080 4.285
Sc 0.545 -0.198 7.237
Sc -0.788 0.881 2.952
H -1.863 0.472 4.696
Mn 0.000 0.000 0.000
H 0.112 -1.371 5.562

---

Record 4
5
Lattice="5.165 0.000 0.000 0.000 5.165 0.000 2.583 2.583 2.953" Properties=species:S:1:pos:R:3 comment="Sc2Mn2H | Alexandria via LeMat-Bulk | GGA-PBE | optimized geometry" magmom_total_mub_per_fu=3.751 n_ef_per_ev_cell=4.72 dft_energy_ev_per_cell=-31.55 pbc="T T T"
Mn 5.165 5.165 1.705
H 0.000 0.000 0.000
Sc 2.583 5.165 1.476
Sc 5.165 2.583 1.476
Mn 2.583 2.583 1.248

---

Record 5
4
Lattice="1.877 0.000 7.514 -0.938 1.625 7.514 -0.938 -1.625 7.514" Properties=species:S:1:pos:R:3 comment="Sc2MnH | Alexandria via LeMat-Bulk | GGA-PBE | optimized geometry" magmom_total_mub_per_fu=0.016 n_ef_per_ev_cell=3.19 dft_energy_ev_per_cell=-23.99 pbc="T T T"
Sc 0.000 0.000 1.985
Mn 0.000 0.000 11.270
Sc 0.000 0.000 20.555
H 0.000 0.000 0.000

---

Record 6
4
Lattice="1.456 5.195 6.081 3.127 2.742 6.985 4.320 4.773 4.965" Properties=species:S:1:pos:R:3 comment="Sc2MnH | Alexandria via LeMat-Bulk | GGA-PBE | optimized geometry" magmom_total_mub_per_fu=3.557 n_ef_per_ev_cell=3.85 dft_energy_ev_per_cell=-24.40 pbc="T T T"
Mn 0.000 0.000 0.000
H 4.452 6.355 9.016
Sc 1.017 1.452 2.060
Sc 7.887 11.258 15.971

---

Record 7
5
Lattice="3.545 0.000 0.000 0.000 3.545 0.000 0.000 0.000 3.545" Properties=species:S:1:pos:R:3 comment="ScMnH3 | Alexandria via LeMat-Bulk | GGA-PBE | optimized geometry" magmom_total_mub_per_fu=0.000 n_ef_per_ev_cell=3.51 dft_energy_ev_per_cell=-23.14 pbc="T T T"
H 0.000 0.000 1.773
H 0.000 1.773 0.000
Mn 1.773 1.773 1.773
H 1.773 0.000 0.000
Sc 0.000 0.000 0.000

---

Record 8
4
Lattice="0.190 -4.267 0.875 -3.483 -2.046 1.642 -2.226 -2.831 -2.458" Properties=species:S:1:pos:R:3 comment="Sc2MnH | Alexandria via LeMat-Bulk | GGA-PBE | optimized geometry" magmom_total_mub_per_fu=0.180 n_ef_per_ev_cell=3.05 dft_energy_ev_per_cell=-23.53 pbc="T T T"
Sc -4.139 -6.858 0.045
H 0.000 0.000 0.000
Sc -1.380 -2.286 0.015
Mn -2.759 -4.572 0.030

---

Record 9
7
Lattice="-0.599 -2.432 2.273 3.315 -0.228 0.629 0.873 2.467 5.386" Properties=species:S:1:pos:R:3 comment="Sc2MnH4 | Alexandria via LeMat-Bulk | GGA-PBE | optimized geometry" magmom_total_mub_per_fu=2.505 n_ef_per_ev_cell=4.57 dft_energy_ev_per_cell=-37.62 pbc="T T T"
H 2.564 -1.461 4.145
Sc 2.375 0.017 5.677
Mn 0.000 0.000 0.000
H 1.658 -0.114 0.314
H 1.026 1.268 4.143
Sc 1.215 -0.211 2.611
H -0.299 -1.216 1.137

---

Record 10
5
Lattice="-2.010 -0.293 -2.440 1.119 -2.915 -0.572 -4.689 -3.975 2.275" Properties=species:S:1:pos:R:3 comment="Sc2MnH2 | Alexandria via LeMat-Bulk | GGA-PBE | optimized geometry" magmom_total_mub_per_fu=2.182 n_ef_per_ev_cell=3.37 dft_energy_ev_per_cell=-30.01 pbc="T T T"
Sc -3.905 -4.892 -0.327
H -3.572 -2.936 -0.835
H -2.008 -4.247 0.099
Mn 0.000 0.000 0.000
Sc -1.676 -2.291 -0.410

---

Record 11
20
Lattice="4.586 0.000 0.000 0.000 5.908 0.653 0.000 -2.370 5.451" Properties=species:S:1:pos:R:3 comment="ScMnH3 | Alexandria via LeMat-Bulk | GGA-PBE | optimized geometry" magmom_total_mub_per_fu=1.410 n_ef_per_ev_cell=5.73 dft_energy_ev_per_cell=-108.21 pbc="T T T"
Mn 3.404 1.483 5.256
Sc 3.440 -1.389 4.882
H 1.147 -1.207 4.777
Mn 1.182 2.054 0.848
H 1.147 2.932 2.378
H 4.482 0.996 1.461
H 3.970 4.221 3.670
Sc 3.440 2.750 2.483
H 0.616 -0.683 2.435
H 2.189 0.773 1.591
Sc 1.147 0.787 3.621
H 1.677 1.086 5.487
H 3.440 0.605 3.727
H 2.398 2.765 4.513
Mn 3.475 -0.285 2.204
H 0.104 2.541 4.643
H 3.440 4.744 1.328
H 2.910 2.452 0.617
Mn 1.111 3.823 3.900
Sc 1.147 4.926 1.222

---

Record 12
6
Lattice="2.907 0.000 0.000 1.454 6.028 0.401 1.454 2.883 4.256" Properties=species:S:1:pos:R:3 comment="ScMnH | Alexandria via LeMat-Bulk | GGA-PBE | optimized geometry" magmom_total_mub_per_fu=0.868 n_ef_per_ev_cell=3.19 dft_energy_ev_per_cell=-37.84 pbc="T T T"
Sc 4.361 7.466 3.884
Mn 2.907 2.548 1.229
Mn 1.454 0.740 0.969
H 4.361 5.752 0.830
Sc 4.361 4.478 2.691
H 2.907 5.424 4.399